(1)
This record from the Open Quantum Materials Database describes LaTc2Ge2 after structural relaxation. The functional is GGA-PBE.

Cell and atoms, written as CIF:
```
data_LaTc2Ge2
_chemical_formula_sum 'La4 Tc8 Ge8'
_cell_length_a 22.195
_cell_length_b 4.201
_cell_length_c 4.267
_cell_angle_alpha 90.00
_cell_angle_beta 100.67
_cell_angle_gamma 90.00
_symmetry_space_group_name_H-M 'C 1 2/m 1'
_symmetry_Int_Tables_number 12
loop_
_symmetry_equiv_pos_as_xyz
'x,y,z'
'-x,-y,-z'
'-x,y,-z'
'x,-y,z'
'x+1/2,y+1/2,z'
'-x+1/2,-y+1/2,-z'
'-x+1/2,y+1/2,-z'
'x+1/2,-y+1/2,z'
loop_
_atom_site_label
_atom_site_type_symbol
_atom_site_fract_x
_atom_site_fract_y
_atom_site_fract_z
_atom_site_occupancy
La1 La 0.158 0.000 0.393 1
Tc1 Tc 0.034 0.000 0.782 1
Tc2 Tc 0.035 0.500 0.284 1
Ge1 Ge 0.103 0.500 0.851 1
Ge2 Ge 0.222 0.500 0.901 1
```



(2)
This record from the Open Quantum Materials Database describes LaTc2Ge2 after structural relaxation. The functional is GGA-PBE.

Cell and atoms, written as CIF:
```
data_LaTc2Ge2
_chemical_formula_sum 'La2 Tc4 Ge4'
_cell_length_a 4.231
_cell_length_b 4.231
_cell_length_c 10.837
_cell_angle_alpha 90.00
_cell_angle_beta 90.00
_cell_angle_gamma 90.00
_symmetry_space_group_name_H-M 'I 4/m m m'
_symmetry_Int_Tables_number 139
_symmetry_space_group_name_Hall '-I 4 2'
loop_
_atom_site_label
_atom_site_type_symbol
_atom_site_fract_x
_atom_site_fract_y
_atom_site_fract_z
_atom_site_occupancy
La1 La 0.000 0.000 0.000 1
Tc1 Tc 0.000 0.500 0.250 1
Ge1 Ge 0.000 0.000 0.375 1
```



The most stable arrangement is (1), and the next structure is 89 meV/atom less stable.



(1)
This record from the Open Quantum Materials Database describes LiLuGePd after structural relaxation. The functional is GGA-PBE.

Cell and atoms, written as CIF:
```
data_LiLuGePd
_chemical_formula_sum 'Li4 Lu4 Ge4 Pd4'
_cell_length_a 6.462
_cell_length_b 6.462
_cell_length_c 6.462
_cell_angle_alpha 90.00
_cell_angle_beta 90.00
_cell_angle_gamma 90.00
_symmetry_space_group_name_H-M 'F -4 3 m'
_symmetry_Int_Tables_number 216
_symmetry_space_group_name_Hall 'F -4 2 3'
loop_
_atom_site_label
_atom_site_type_symbol
_atom_site_fract_x
_atom_site_fract_y
_atom_site_fract_z
_atom_site_occupancy
Li1 Li 0.000 0.000 0.000 1
Lu1 Lu 0.250 0.250 0.250 1
Ge1 Ge 0.000 0.000 0.500 1
Pd1 Pd 0.250 0.250 0.750 1
```



(2)
This record from the Open Quantum Materials Database describes LiLuGePd after structural relaxation. The functional is GGA-PBE.

Cell and atoms, written as CIF:
```
data_LiLuGePd
_chemical_formula_sum 'Li4 Lu4 Ge4 Pd4'
_cell_length_a 6.603
_cell_length_b 6.603
_cell_length_c 6.603
_cell_angle_alpha 90.00
_cell_angle_beta 90.00
_cell_angle_gamma 90.00
_symmetry_space_group_name_H-M 'F -4 3 m'
_symmetry_Int_Tables_number 216
_symmetry_space_group_name_Hall 'F -4 2 3'
loop_
_atom_site_label
_atom_site_type_symbol
_atom_site_fract_x
_atom_site_fract_y
_atom_site_fract_z
_atom_site_occupancy
Li1 Li 0.000 0.000 0.000 1
Lu1 Lu 0.000 0.000 0.500 1
Ge1 Ge 0.250 0.250 0.250 1
Pd1 Pd 0.250 0.250 0.750 1
```



(3)
This record from the Open Quantum Materials Database describes LiLuGePd after structural relaxation. The functional is GGA-PBE.

Cell and atoms, written as CIF:
```
data_LiLuGePd
_chemical_formula_sum 'Li4 Lu4 Ge4 Pd4'
_cell_length_a 6.435
_cell_length_b 6.435
_cell_length_c 6.435
_cell_angle_alpha 90.00
_cell_angle_beta 90.00
_cell_angle_gamma 90.00
_symmetry_space_group_name_H-M 'F -4 3 m'
_symmetry_Int_Tables_number 216
_symmetry_space_group_name_Hall 'F -4 2 3'
loop_
_atom_site_label
_atom_site_type_symbol
_atom_site_fract_x
_atom_site_fract_y
_atom_site_fract_z
_atom_site_occupancy
Li1 Li 0.000 0.000 0.000 1
Lu1 Lu 0.250 0.250 0.250 1
Ge1 Ge 0.250 0.250 0.750 1
Pd1 Pd 0.000 0.000 0.500 1
```



The most stable arrangement is (3), and the next structure is 84 meV/atom less stable.



(1)
This record from the Open Quantum Materials Database describes LiMgZnGe after structural relaxation. The functional is GGA-PBE.

Cell and atoms, written as CIF:
```
data_LiMgZnGe
_chemical_formula_sum 'Li4 Mg4 Zn4 Ge4'
_cell_length_a 6.483
_cell_length_b 6.483
_cell_length_c 6.483
_cell_angle_alpha 90.00
_cell_angle_beta 90.00
_cell_angle_gamma 90.00
_symmetry_space_group_name_H-M 'F -4 3 m'
_symmetry_Int_Tables_number 216
_symmetry_space_group_name_Hall 'F -4 2 3'
loop_
_atom_site_label
_atom_site_type_symbol
_atom_site_fract_x
_atom_site_fract_y
_atom_site_fract_z
_atom_site_occupancy
Li1 Li 0.000 0.000 0.000 1
Mg1 Mg 0.250 0.250 0.250 1
Zn1 Zn 0.000 0.000 0.500 1
Ge1 Ge 0.250 0.250 0.750 1
```



(2)
This record from the Open Quantum Materials Database describes LiMgZnGe after structural relaxation. The functional is GGA-PBE.

Cell and atoms, written as CIF:
```
data_LiMgZnGe
_chemical_formula_sum 'Li4 Mg4 Zn4 Ge4'
_cell_length_a 6.434
_cell_length_b 6.434
_cell_length_c 6.434
_cell_angle_alpha 90.00
_cell_angle_beta 90.00
_cell_angle_gamma 90.00
_symmetry_space_group_name_H-M 'F -4 3 m'
_symmetry_Int_Tables_number 216
_symmetry_space_group_name_Hall 'F -4 2 3'
loop_
_atom_site_label
_atom_site_type_symbol
_atom_site_fract_x
_atom_site_fract_y
_atom_site_fract_z
_atom_site_occupancy
Li1 Li 0.000 0.000 0.000 1
Mg1 Mg 0.000 0.000 0.500 1
Zn1 Zn 0.250 0.250 0.250 1
Ge1 Ge 0.250 0.250 0.750 1
```



The most stable arrangement is (2), and the next structure is 85 meV/atom less stable.



(1)
This record from the Open Quantum Materials Database describes LiGeMo after structural relaxation. The functional is GGA-PBE.

Cell and atoms, written as CIF:
```
data_LiGeMo
_chemical_formula_sum 'Li4 Ge4 Mo4'
_cell_length_a 5.987
_cell_length_b 5.987
_cell_length_c 5.987
_cell_angle_alpha 90.00
_cell_angle_beta 90.00
_cell_angle_gamma 90.00
_symmetry_space_group_name_H-M 'F -4 3 m'
_symmetry_Int_Tables_number 216
_symmetry_space_group_name_Hall 'F -4 2 3'
loop_
_atom_site_label
_atom_site_type_symbol
_atom_site_fract_x
_atom_site_fract_y
_atom_site_fract_z
_atom_site_occupancy
Li1 Li 0.000 0.000 0.000 1
Ge1 Ge 0.000 0.000 0.500 1
Mo1 Mo 0.250 0.250 0.750 1
```



(2)
This record from the Open Quantum Materials Database describes LiGeMo after structural relaxation. The functional is GGA-PBE.

Cell and atoms, written as CIF:
```
data_LiGeMo
_chemical_formula_sum 'Li4 Ge4 Mo4'
_cell_length_a 5.887
_cell_length_b 5.887
_cell_length_c 5.887
_cell_angle_alpha 90.00
_cell_angle_beta 90.00
_cell_angle_gamma 90.00
_symmetry_space_group_name_H-M 'F -4 3 m'
_symmetry_Int_Tables_number 216
_symmetry_space_group_name_Hall 'F -4 2 3'
loop_
_atom_site_label
_atom_site_type_symbol
_atom_site_fract_x
_atom_site_fract_y
_atom_site_fract_z
_atom_site_occupancy
Li1 Li 0.000 0.000 0.000 1
Ge1 Ge 0.250 0.250 0.250 1
Mo1 Mo 0.000 0.000 0.500 1
```



The most stable arrangement is (2), and the next structure is 315 meV/atom less stable.